Entry 1:
{
  "formula": "Li2SmZn4",
  "functional": "GGA-PBE",
  "state": "relaxed",
  "lattice_angstrom": [[-3.4688, 3.4688, 2.4903], [3.4688, -3.4688, 2.4903], [3.4688, 3.4688, -2.4903]],
  "species": ["Li", "Li", "Sm", "Zn", "Zn", "Zn", "Zn"],
  "fractional_positions": [[0.2500, 0.7500, 0.5000], [0.7500, 0.2500, 0.5000], [0.0000, 0.0000, 0.0000], [0.3086, 0.3086, 0.6173], [0.3086, 0.6914, 0.0000], [0.6914, 0.3086, 0.0000], [0.6914, 0.6914, 0.3827]],
  "vol_a3_per_cell": 119.86,
  "spacegroup": "I4/mmm, No. 139",
  "dft_energy_ev_per_atom": -2.232
}

***

Entry 2:
{
  "formula": "LiTa2Sn6",
  "functional": "GGA-PBE",
  "state": "relaxed",
  "lattice_angstrom": [[8.5070, 0.0000, 0.0000], [-4.2535, 7.3673, 0.0000], [0.0000, 0.0000, 3.1843]],
  "species": ["Li", "Ta", "Ta", "Sn", "Sn", "Sn", "Sn", "Sn", "Sn"],
  "fractional_positions": [[0.0000, 0.0000, 0.0000], [0.3333, 0.6667, 0.5000], [0.6667, 0.3333, 0.5000], [0.0000, 0.2687, 0.5000], [0.0000, 0.5839, 0.0000], [0.2687, 0.0000, 0.5000], [0.4161, 0.4161, 0.0000], [0.5839, 0.0000, 0.0000], [0.7313, 0.7313, 0.5000]],
  "vol_a3_per_cell": 199.57,
  "spacegroup": "P-62m, No. 189",
  "dft_energy_ev_per_atom": -5.396
}

***

Entry 3:
{
  "formula": "Li4Tb3Sn4",
  "functional": "GGA-PBE",
  "state": "relaxed",
  "lattice_angstrom": [[-2.2930, 3.5446, 7.5290], [2.2930, -3.5446, 7.5290], [2.2930, 3.5446, -7.5290]],
  "species": ["Li", "Li", "Li", "Li", "Tb", "Tb", "Tb", "Sn", "Sn", "Sn", "Sn"],
  "fractional_positions": [[0.0165, 0.8268, 0.1897], [0.3629, 0.1732, 0.1897], [0.6371, 0.8268, 0.8103], [0.9835, 0.1732, 0.8103], [0.0000, 0.5000, 0.5000], [0.3725, 0.3725, 0.0000], [0.6275, 0.6275, 0.0000], [0.2147, 0.7147, 0.5000], [0.2981, 0.0000, 0.2981], [0.7019, 0.0000, 0.7019], [0.7853, 0.2853, 0.5000]],
  "vol_a3_per_cell": 244.77,
  "spacegroup": "Immm, No. 71",
  "dft_energy_ev_per_atom": -4.034
}

***

Entry 4:
{
  "formula": "LiTc2Sn",
  "functional": "GGA-PBE",
  "state": "relaxed",
  "lattice_angstrom": [[0.0000, 3.1201, 3.1201], [3.1201, 0.0000, 3.1201], [3.1201, 3.1201, 0.0000]],
  "species": ["Li", "Tc", "Tc", "Sn"],
  "fractional_positions": [[0.0000, 0.0000, 0.0000], [0.2500, 0.2500, 0.2500], [0.5000, 0.5000, 0.5000], [0.7500, 0.7500, 0.7500]],
  "vol_a3_per_cell": 60.75,
  "spacegroup": "F-43m, No. 216",
  "dft_energy_ev_per_atom": -6.705
}

***

Entry 5:
{
  "formula": "LiTcSn4",
  "functional": "GGA-PBE",
  "state": "relaxed",
  "lattice_angstrom": [[-3.3722, 3.3722, 5.6616], [3.3722, -3.3722, 5.6616], [3.3722, 3.3722, -5.6616]],
  "species": ["Li", "Li", "Tc", "Tc", "Sn", "Sn", "Sn", "Sn", "Sn", "Sn", "Sn", "Sn"],
  "fractional_positions": [[0.0000, 0.0000, 0.0000], [0.5000, 0.5000, 0.0000], [0.2500, 0.2500, 0.0000], [0.7500, 0.7500, 0.0000], [0.0226, 0.5226, 0.8214], [0.2012, 0.0226, 0.5000], [0.2988, 0.7988, 0.8214], [0.4774, 0.2988, 0.5000], [0.5226, 0.7012, 0.5000], [0.7012, 0.2012, 0.1786], [0.7988, 0.9774, 0.5000], [0.9774, 0.4774, 0.1786]],
  "vol_a3_per_cell": 257.53,
  "spacegroup": "I4/mcm, No. 140",
  "dft_energy_ev_per_atom": -4.856
}

***

Entry 6:
{
  "formula": "LiTcSn2",
  "functional": "GGA-PBE",
  "state": "relaxed",
  "lattice_angstrom": [[0.0000, 3.3855, 3.3855], [3.3855, 0.0000, 3.3855], [3.3855, 3.3855, 0.0000]],
  "species": ["Li", "Tc", "Sn", "Sn"],
  "fractional_positions": [[0.0000, 0.0000, 0.0000], [0.7500, 0.7500, 0.7500], [0.2500, 0.2500, 0.2500], [0.5000, 0.5000, 0.5000]],
  "vol_a3_per_cell": 77.61,
  "spacegroup": "F-43m, No. 216",
  "dft_energy_ev_per_atom": -4.632
}

***

Entry 7:
{
  "formula": "LiTcSnTe",
  "functional": "GGA-PBE",
  "state": "relaxed",
  "lattice_angstrom": [[0.0000, 3.3315, 3.3315], [3.3315, 0.0000, 3.3315], [3.3315, 3.3315, 0.0000]],
  "species": ["Li", "Tc", "Sn", "Te"],
  "fractional_positions": [[0.0000, 0.0000, 0.0000], [0.5000, 0.5000, 0.5000], [0.7500, 0.7500, 0.7500], [0.2500, 0.2500, 0.2500]],
  "vol_a3_per_cell": 73.95,
  "spacegroup": "F-43m, No. 216",
  "dft_energy_ev_per_atom": -4.855
}

***

Entry 8:
{
  "formula": "LiTcSnW",
  "functional": "GGA-PBE",
  "state": "relaxed",
  "lattice_angstrom": [[0.0000, 3.1432, 3.1432], [3.1432, 0.0000, 3.1432], [3.1432, 3.1432, 0.0000]],
  "species": ["Li", "Tc", "Sn", "W"],
  "fractional_positions": [[0.0000, 0.0000, 0.0000], [0.5000, 0.5000, 0.5000], [0.2500, 0.2500, 0.2500], [0.7500, 0.7500, 0.7500]],
  "vol_a3_per_cell": 62.11,
  "spacegroup": "F-43m, No. 216",
  "dft_energy_ev_per_atom": -7.315
}

***

Entry 9:
{
  "formula": "LiTcSnW",
  "functional": "GGA-PBE",
  "state": "relaxed",
  "lattice_angstrom": [[0.0000, 3.1689, 3.1689], [3.1689, 0.0000, 3.1689], [3.1689, 3.1689, 0.0000]],
  "species": ["Li", "Tc", "Sn", "W"],
  "fractional_positions": [[0.0000, 0.0000, 0.0000], [0.2500, 0.2500, 0.2500], [0.5000, 0.5000, 0.5000], [0.7500, 0.7500, 0.7500]],
  "vol_a3_per_cell": 63.64,
  "spacegroup": "F-43m, No. 216",
  "dft_energy_ev_per_atom": -6.678
}

***

Entry 10:
{
  "formula": "LiTmSnTe3",
  "functional": "GGA-PBE",
  "state": "relaxed",
  "lattice_angstrom": [[14.0906, 0.0000, 0.0000], [0.0000, 4.2759, 0.0000], [0.0000, 0.0000, 12.6240]],
  "species": ["Li", "Li", "Li", "Li", "Tm", "Tm", "Tm", "Tm", "Sn", "Sn", "Sn", "Sn", "Te", "Te", "Te", "Te", "Te", "Te", "Te", "Te", "Te", "Te", "Te", "Te"],
  "fractional_positions": [[0.2459, 0.2500, 0.1228], [0.2541, 0.7500, 0.6228], [0.7459, 0.2500, 0.3772], [0.7541, 0.7500, 0.8772], [0.0034, 0.7500, 0.6514], [0.4966, 0.2500, 0.1514], [0.5034, 0.7500, 0.8486], [0.9966, 0.2500, 0.3486], [0.0494, 0.2500, 0.9206], [0.4506, 0.7500, 0.4206], [0.5494, 0.2500, 0.5794], [0.9506, 0.7500, 0.0794], [0.1112, 0.7500, 0.2244], [0.1245, 0.2500, 0.5430], [0.1598, 0.7500, 0.8221], [0.3402, 0.2500, 0.3221], [0.3755, 0.7500, 0.0430], [0.3888, 0.2500, 0.7244], [0.6112, 0.7500, 0.2756], [0.6245, 0.2500, 0.9570], [0.6598, 0.7500, 0.6779], [0.8402, 0.2500, 0.1779], [0.8755, 0.7500, 0.4570], [0.8888, 0.2500, 0.7756]],
  "vol_a3_per_cell": 760.60,
  "spacegroup": "Pnma, No. 62",
  "dft_energy_ev_per_atom": -4.183
}

***

Entry 11:
{
  "formula": "LiThSn",
  "functional": "GGA-PBE",
  "state": "relaxed",
  "lattice_angstrom": [[7.4051, 0.0000, 0.0000], [0.0000, 4.7936, 0.0000], [0.0000, 0.0000, 8.3219]],
  "species": ["Li", "Li", "Li", "Li", "Th", "Th", "Th", "Th", "Sn", "Sn", "Sn", "Sn"],
  "fractional_positions": [[0.2127, 0.2500, 0.0823], [0.2873, 0.7500, 0.5823], [0.7127, 0.2500, 0.4177], [0.7873, 0.7500, 0.9177], [0.0017, 0.2500, 0.7328], [0.4983, 0.7500, 0.2328], [0.5017, 0.2500, 0.7672], [0.9983, 0.7500, 0.2672], [0.2352, 0.7500, 0.9151], [0.2648, 0.2500, 0.4151], [0.7352, 0.7500, 0.5849], [0.7648, 0.2500, 0.0849]],
  "vol_a3_per_cell": 295.40,
  "spacegroup": "Pnma, No. 62",
  "dft_energy_ev_per_atom": -4.935
}

***

Entry 12:
{
  "formula": "Li4TlZn2Sn",
  "functional": "GGA-PBE",
  "state": "relaxed",
  "lattice_angstrom": [[4.5630, 0.0000, 0.0000], [0.0000, 4.5630, 0.0000], [0.0000, 0.0000, 6.5081]],
  "species": ["Li", "Li", "Li", "Li", "Tl", "Zn", "Zn", "Sn"],
  "fractional_positions": [[0.0000, 0.0000, 0.0000], [0.0000, 0.5000, 0.2490], [0.5000, 0.0000, 0.7510], [0.5000, 0.5000, 0.5000], [0.5000, 0.5000, 0.0000], [0.0000, 0.5000, 0.7525], [0.5000, 0.0000, 0.2475], [0.0000, 0.0000, 0.5000]],
  "vol_a3_per_cell": 135.51,
  "spacegroup": "P-4m2, No. 115",
  "dft_energy_ev_per_atom": -2.339
}

***

Entry 13:
{
  "formula": "LiTmSn",
  "functional": "GGA-PBE",
  "state": "relaxed",
  "lattice_angstrom": [[7.2088, 0.0000, 0.0000], [0.0000, 4.6032, 0.0000], [0.0000, 0.0000, 8.0327]],
  "species": ["Li", "Li", "Li", "Li", "Tm", "Tm", "Tm", "Tm", "Sn", "Sn", "Sn", "Sn"],
  "fractional_positions": [[0.1812, 0.2500, 0.0798], [0.3188, 0.7500, 0.5798], [0.6812, 0.2500, 0.4202], [0.8188, 0.7500, 0.9202], [0.0029, 0.2500, 0.7195], [0.4971, 0.7500, 0.2195], [0.5029, 0.2500, 0.7805], [0.9971, 0.7500, 0.2805], [0.2315, 0.7500, 0.9110], [0.2685, 0.2500, 0.4110], [0.7315, 0.7500, 0.5890], [0.7685, 0.2500, 0.0890]],
  "vol_a3_per_cell": 266.56,
  "spacegroup": "Pnma, No. 62",
  "dft_energy_ev_per_atom": -4.088
}

***

Entry 14:
{
  "formula": "LiTmSn",
  "functional": "GGA-PBE",
  "state": "relaxed",
  "lattice_angstrom": [[0.0000, 3.4564, 3.4564], [3.4564, 0.0000, 3.4564], [3.4564, 3.4564, 0.0000]],
  "species": ["Li", "Tm", "Sn"],
  "fractional_positions": [[0.0000, 0.0000, 0.0000], [0.5000, 0.5000, 0.5000], [0.2500, 0.2500, 0.2500]],
  "vol_a3_per_cell": 82.59,
  "spacegroup": "F-43m, No. 216",
  "dft_energy_ev_per_atom": -3.873
}

***

Entry 15:
{
  "formula": "LiTmSn",
  "functional": "GGA-PBE",
  "state": "relaxed",
  "lattice_angstrom": [[0.0000, 3.4862, 3.4862], [3.4862, 0.0000, 3.4862], [3.4862, 3.4862, 0.0000]],
  "species": ["Li", "Tm", "Sn"],
  "fractional_positions": [[0.0000, 0.0000, 0.0000], [0.2500, 0.2500, 0.2500], [0.5000, 0.5000, 0.5000]],
  "vol_a3_per_cell": 84.74,
  "spacegroup": "F-43m, No. 216",
  "dft_energy_ev_per_atom": -3.505
}

***

Entry 16:
{
  "formula": "LiSn5W3",
  "functional": "GGA-PBE",
  "state": "relaxed",
  "lattice_angstrom": [[5.5258, 0.0000, 0.0000], [-2.7629, 4.7854, 0.0000], [0.0000, 0.0000, 8.5430]],
  "species": ["Li", "Sn", "Sn", "Sn", "Sn", "Sn", "W", "W", "W"],
  "fractional_positions": [[0.0000, 0.0000, 0.0000], [0.0000, 0.0000, 0.5000], [0.3333, 0.6667, 0.2103], [0.3333, 0.6667, 0.7897], [0.6667, 0.3333, 0.2103], [0.6667, 0.3333, 0.7897], [0.0000, 0.5000, 0.5000], [0.5000, 0.0000, 0.5000], [0.5000, 0.5000, 0.5000]],
  "vol_a3_per_cell": 225.90,
  "spacegroup": "P6/mmm, No. 191",
  "dft_energy_ev_per_atom": -6.486
}

***

Entry 17:
{
  "formula": "LiSn4W",
  "functional": "GGA-PBE",
  "state": "relaxed",
  "lattice_angstrom": [[-3.4163, 3.4163, 5.7331], [3.4163, -3.4163, 5.7331], [3.4163, 3.4163, -5.7331]],
  "species": ["Li", "Li", "Sn", "Sn", "Sn", "Sn", "Sn", "Sn", "Sn", "Sn", "W", "W"],
  "fractional_positions": [[0.0000, 0.0000, 0.0000], [0.5000, 0.5000, 0.0000], [0.0249, 0.5249, 0.8240], [0.2010, 0.0249, 0.5000], [0.2990, 0.7990, 0.8240], [0.4751, 0.2990, 0.5000], [0.5249, 0.7010, 0.5000], [0.7010, 0.2010, 0.1760], [0.7990, 0.9751, 0.5000], [0.9751, 0.4751, 0.1760], [0.2500, 0.2500, 0.0000], [0.7500, 0.7500, 0.0000]],
  "vol_a3_per_cell": 267.65,
  "spacegroup": "I4/mcm, No. 140",
  "dft_energy_ev_per_atom": -5.058
}

***

Entry 18:
{
  "formula": "LiSnW2",
  "functional": "GGA-PBE",
  "state": "relaxed",
  "lattice_angstrom": [[0.0000, 3.1961, 3.1961], [3.1961, 0.0000, 3.1961], [3.1961, 3.1961, 0.0000]],
  "species": ["Li", "Sn", "W", "W"],
  "fractional_positions": [[0.0000, 0.0000, 0.0000], [0.7500, 0.7500, 0.7500], [0.2500, 0.2500, 0.2500], [0.5000, 0.5000, 0.5000]],
  "vol_a3_per_cell": 65.29,
  "spacegroup": "F-43m, No. 216",
  "dft_energy_ev_per_atom": -7.673
}

***

Entry 19:
{
  "formula": "Li3Zn2Sn4",
  "functional": "GGA-PBE",
  "state": "relaxed",
  "lattice_angstrom": [[4.5351, 0.0000, 0.0000], [-2.2676, 3.9276, 0.0000], [0.0000, 0.0000, 22.1407]],
  "species": ["Li", "Li", "Li", "Li", "Li", "Li", "Zn", "Zn", "Zn", "Zn", "Sn", "Sn", "Sn", "Sn", "Sn", "Sn", "Sn", "Sn"],
  "fractional_positions": [[0.3333, 0.6667, 0.1074], [0.3333, 0.6667, 0.2500], [0.3333, 0.6667, 0.3926], [0.6667, 0.3333, 0.6074], [0.6667, 0.3333, 0.7500], [0.6667, 0.3333, 0.8926], [0.3333, 0.6667, 0.6540], [0.3333, 0.6667, 0.8460], [0.6667, 0.3333, 0.1540], [0.6667, 0.3333, 0.3460], [0.0000, 0.0000, 0.1829], [0.0000, 0.0000, 0.3171], [0.0000, 0.0000, 0.6829], [0.0000, 0.0000, 0.8171], [0.3333, 0.6667, 0.5294], [0.3333, 0.6667, 0.9706], [0.6667, 0.3333, 0.0294], [0.6667, 0.3333, 0.4706]],
  "vol_a3_per_cell": 394.37,
  "spacegroup": "P6_3/mmc, No. 194",
  "dft_energy_ev_per_atom": -2.951
}

***

Entry 20:
{
  "formula": "LiZn2Sn",
  "functional": "GGA-PBE",
  "state": "relaxed",
  "lattice_angstrom": [[0.0000, 3.2824, 3.2824], [3.2824, 0.0000, 3.2824], [3.2824, 3.2824, 0.0000]],
  "species": ["Li", "Zn", "Zn", "Sn"],
  "fractional_positions": [[0.0000, 0.0000, 0.0000], [0.2500, 0.2500, 0.2500], [0.5000, 0.5000, 0.5000], [0.7500, 0.7500, 0.7500]],
  "vol_a3_per_cell": 70.73,
  "spacegroup": "F-43m, No. 216",
  "dft_energy_ev_per_atom": -2.181
}

***

Entry 21:
{
  "formula": "LiZr3Sn5",
  "functional": "GGA-PBE",
  "state": "relaxed",
  "lattice_angstrom": [[6.0986, 0.0000, 0.0000], [-3.0493, 5.2816, 0.0000], [0.0000, 0.0000, 7.6977]],
  "species": ["Li", "Zr", "Zr", "Zr", "Sn", "Sn", "Sn", "Sn", "Sn"],
  "fractional_positions": [[0.0000, 0.0000, 0.0000], [0.0000, 0.5000, 0.5000], [0.5000, 0.0000, 0.5000], [0.5000, 0.5000, 0.5000], [0.0000, 0.0000, 0.5000], [0.3333, 0.6667, 0.1822], [0.3333, 0.6667, 0.8178], [0.6667, 0.3333, 0.1822], [0.6667, 0.3333, 0.8178]],
  "vol_a3_per_cell": 247.94,
  "spacegroup": "P6/mmm, No. 191",
  "dft_energy_ev_per_atom": -5.429
}

***

Entry 22:
{
  "formula": "Li2ZrSn2",
  "functional": "GGA-PBE",
  "state": "relaxed",
  "lattice_angstrom": [[-1.9899, 1.9899, 6.3678], [1.9899, -1.9899, 6.3678], [1.9899, 1.9899, -6.3678]],
  "species": ["Li", "Li", "Zr", "Sn", "Sn"],
  "fractional_positions": [[0.2500, 0.7500, 0.5000], [0.7500, 0.2500, 0.5000], [0.0000, 0.0000, 0.0000], [0.3914, 0.3914, 0.0000], [0.6086, 0.6086, 0.0000]],
  "vol_a3_per_cell": 100.86,
  "spacegroup": "I4/mmm, No. 139",
  "dft_energy_ev_per_atom": -4.359
}

***

Entry 23:
{
  "formula": "SrLiTmTe3",
  "functional": "GGA-PBE",
  "state": "relaxed",
  "lattice_angstrom": [[2.2087, -7.2827, 0.0000], [2.2087, 7.2827, 0.0000], [0.0000, 0.0000, 11.3117]],
  "species": ["Sr", "Sr", "Li", "Li", "Tm", "Tm", "Te", "Te", "Te", "Te", "Te", "Te"],
  "fractional_positions": [[0.2456, 0.7544, 0.7500], [0.7544, 0.2456, 0.2500], [0.4749, 0.5251, 0.2500], [0.5251, 0.4749, 0.7500], [0.0000, 0.0000, 0.0000], [0.0000, 0.0000, 0.5000], [0.0821, 0.9179, 0.2500], [0.3609, 0.6391, 0.0593], [0.3609, 0.6391, 0.4407], [0.6391, 0.3609, 0.5593], [0.6391, 0.3609, 0.9407], [0.9179, 0.0821, 0.7500]],
  "vol_a3_per_cell": 363.91,
  "spacegroup": "Cmcm, No. 63",
  "dft_energy_ev_per_atom": -4.322
}

***

Entry 24:
{
  "formula": "SrLiTmTe3",
  "functional": "GGA-PBE",
  "state": "relaxed",
  "lattice_angstrom": [[8.3922, 0.0000, 0.0000], [0.0000, 4.3966, 0.0000], [-2.9170, 0.0000, 10.1668]],
  "species": ["Sr", "Sr", "Li", "Li", "Tm", "Tm", "Te", "Te", "Te", "Te", "Te", "Te"],
  "fractional_positions": [[0.2471, 0.2500, 0.2946], [0.7529, 0.7500, 0.7054], [0.0841, 0.2500, 0.5901], [0.9159, 0.7500, 0.4099], [0.3099, 0.7500, 0.8413], [0.6901, 0.2500, 0.1587], [0.0631, 0.2500, 0.8441], [0.2616, 0.7500, 0.5417], [0.4299, 0.7500, 0.1424], [0.5701, 0.2500, 0.8576], [0.7384, 0.2500, 0.4583], [0.9369, 0.7500, 0.1559]],
  "vol_a3_per_cell": 375.13,
  "spacegroup": "P2_1/m, No. 11",
  "dft_energy_ev_per_atom": -4.305
}